The following is a DFT calculation (PBE-GGA) of a relaxed KTlAg crystal.

Results
Its total energy is -6.25 eV/cell. As for the calculated formation energy: 0.021 eV per atom. The value obtained for the magnetization is 0.00 μB/atom.

a = 5.1952 Å, b = 5.1952 Å, c = 4.0404 Å
α = 90.00°, β = 90.00°, γ = 120.00°
Space group P-6m2 (No. 187)
Symmetry-distinct sites (fractional):
K (0.0000, 0.0000, 0.0000)
Tl (0.6667, 0.3333, 0.5000)
Ag (0.3333, 0.6667, 0.5000)

The following is a DFT calculation (PBE-GGA) of a relaxed YTa2Au crystal.

Results
Its total energy is -65.22 eV/cell. The calculation puts the energy relative to the lowest polymorph listed for this composition at 252.6 meV per atom. As for the calculated formation energy: 0.209 eV per atom. The value obtained for the magnetization is 0.00 μB/atom.

a = 5.6843 Å, b = 10.3249 Å, c = 3.0097 Å
α = 90.00°, β = 113.09°, γ = 90.00°
Space group C2/m (No. 12)
Symmetry-distinct sites (fractional):
Y (0.0000, 0.0000, 0.0000)
Ta (0.2500, 0.2500, 0.5000)
Au (0.0000, 0.5000, 0.0000)

The following is a DFT calculation (PBE-GGA) of a relaxed Sb3Pd8 crystal.

Results
Its total energy is -705.85 eV/cell. The calculation puts the energy relative to the lowest polymorph listed for this composition at 0.0 meV per atom. The value obtained for the magnetization is 0.00 μB/atom.

a = 7.7340 Å, b = 7.7340 Å, c = 43.6284 Å
α = 90.00°, β = 90.00°, γ = 120.00°
Space group R-3c (No. 167, hexagonal axes)
Symmetry-distinct sites (fractional):
Sb (0.0000, 0.0000, 0.0000)
Sb (0.0000, 0.0000, 0.1571)
Sb (0.0000, 0.3178, 0.2500)
Pd (0.0000, 0.0000, 0.0618)
Pd (0.0000, 0.0000, 0.2183)
Pd (0.0028, 0.2604, 0.1146)
Pd (0.0064, 0.3637, 0.8508)

The following is a DFT calculation (PBE-GGA) of a relaxed ZnSiTcMo2 crystal.

Results
Its total energy is -33.86 eV/cell. The value obtained for the magnetization is 0.00 μB/atom.

a = 4.5070 Å, b = 4.5070 Å, c = 4.3871 Å
α = 90.00°, β = 90.00°, γ = 90.00°
Space group P4/mmm (No. 123)
Symmetry-distinct sites (fractional):
Zn (0.0000, 0.0000, 0.0000)
Si (0.5000, 0.5000, 0.5000)
Tc (0.5000, 0.5000, 0.0000)
Mo (0.0000, 0.5000, 0.5000)

The following is a DFT calculation (PBE-GGA) of a relaxed BeHAuBr2 crystal.

Results
Its total energy is -11.15 eV/cell. The value obtained for the magnetization is 0.19 μB/atom.

a = 4.8339 Å, b = 4.8339 Å, c = 4.6395 Å
α = 90.00°, β = 90.00°, γ = 90.00°
Space group P4/mmm (No. 123)
Symmetry-distinct sites (fractional):
Be (0.0000, 0.0000, 0.0000)
H (0.5000, 0.5000, 0.5000)
Au (0.0000, 0.0000, 0.5000)
Br (0.0000, 0.5000, 0.0000)

The following is a DFT calculation (PBE-GGA) of a relaxed BeAl2As crystal.

Results
Its total energy is -29.49 eV/cell. The calculation puts the energy relative to the lowest polymorph listed for this composition at 203.7 meV per atom. As for the calculated formation energy: 0.280 eV per atom. The value obtained for the magnetization is 0.00 μB/atom.

a = 5.3242 Å, b = 6.9195 Å, c = 3.3888 Å
α = 90.00°, β = 90.00°, γ = 90.00°
Space group Cmmm (No. 65)
Symmetry-distinct sites (fractional):
Be (0.0000, 0.0000, 0.0000)
Al (0.2500, 0.2500, 0.5000)
As (0.0000, 0.5000, 0.0000)